Here is crystalline HfZnCr3 at its relaxed geometry from Alexandria via LeMat-Bulk. Energies are from GGA-PBE.

```
HfZnCr3
1.0
-4.2654 0.4620 0.8257
-0.9276 -1.2891 -4.0703
-0.1868 -4.1490 1.3566
Zn Cr Hf
1 3 1
direct
0.0000 0.0000 0.0000
0.0000 0.5000 0.0000
0.5000 0.0000 0.0000
0.0000 0.0000 0.5000
0.5000 0.5000 0.5000
```

Output
For the density, the calculation gives 7.962 g/cm³. As for the energy above the most stable polymorph in this dataset: 0 meV/atom. As for the symmetry: Pm-3m. The calculation puts the total energy at -6.638 eV per atom. The calculation puts the formation enthalpy at 0 K at 1.38 eV/atom. Its calculated volume is 83.4 Å³ per cell.

=====

Here is crystalline HfZnCr3 at its relaxed geometry from Alexandria via LeMat-Bulk. Energies are from GGA-PBE.

```
HfZnCr3
1.0
4.5338 0.0000 0.0000
0.0000 4.5338 0.0000
0.0000 0.0000 4.5338
Cr Hf Zn
3 1 1
direct
0.0000 0.0000 0.5000
0.0000 0.5000 0.0000
0.5000 0.0000 0.0000
0.0000 0.0000 0.0000
0.5000 0.5000 0.5000
```

Output
For the density, the calculation gives 7.125 g/cm³. As for the energy above the most stable polymorph in this dataset: 603 meV/atom. As for the symmetry: Pm-3m. The calculation puts the total energy at -6.035 eV per atom. The calculation puts the formation enthalpy at 0 K at 1.98 eV/atom. Its calculated volume is 93.2 Å³ per cell.

=====

Here is crystalline HfZn4Cr at its relaxed geometry from Alexandria via LeMat-Bulk. Energies are from GGA-PBE.

```
HfZn4Cr
1.0
-0.0086 -3.1934 -3.9079
4.0577 -0.3519 -2.9801
2.8706 -4.1489 0.1253
Zn Hf Cr
4 1 1
direct
0.6254 0.1237 0.6254
0.6254 0.6254 0.1237
0.1237 0.6254 0.6254
0.6254 0.6254 0.6254
0.2500 0.2500 0.2500
0.0000 0.0000 0.0000
```

Output
For the density, the calculation gives 8.991 g/cm³. As for the symmetry: F-43m. The calculation puts the total energy at -4.165 eV per atom. The calculation puts the formation enthalpy at 0 K at -0.05 eV/atom. Its calculated volume is 90.9 Å³ per cell.

=====

Question: Look up the calculated volume of the second one.
Answer: 93.2 Å³ per cell

=====

Question: Which of these has the highest formation enthalpy at 0 K?
Answer: number 2

=====

Question: The highest calculated volume belongs to which entry?
Answer: number 2